Compound: Tm3Al3GeAu2
Source: OQMD via LeMat-Bulk
Functional: PBE-GGA
Structure: relaxed

Computed properties:
**Calculated total energy**: -41.8 eV for the cell shown
**Magnetization**: 0.0004 μB/atom
**Volume**: 20.6 Å³ per atom

abc: 7.3829 7.3829 3.9188
angles: 90.00 90.00 120.00
Element x y z (fractional)
1 Tm 0.0000 0.3953 0.0000
2 Tm 0.3953 0.0000 0.0000
3 Tm 0.6047 0.6047 0.0000
4 Al 0.0000 0.7421 0.5000
5 Al 0.2579 0.2579 0.5000
6 Al 0.7421 0.0000 0.5000
7 Ge 0.0000 0.0000 0.0000
8 Au 0.3333 0.6667 0.5000
9 Au 0.6667 0.3333 0.5000